ZnMoRuO2, optimized geometry, DFT PBE+U; VASP energy = -5.495 eV/atom; D(E_F) = 4.1 states/eV per cell
1.0
-1.8042 -0.4415 3.3077
0.0522 -6.2612 -0.8072
3.3369 -0.2033 1.7930
Ru Mo Zn O
1 1 1 2
Cartesian
0.7924 -3.4530 2.1467
0.0000 0.0000 0.0000
0.0261 -3.1306 -0.4036
1.6684 -0.1017 0.8965
-0.9021 -0.2207 1.6539